(1)
Below is a PBEsol-optimized structure of DyLuZn2, with properties calculated at the SCAN level.

extended XYZ file:
```
4
Lattice="-1.9731 2.2162 -3.9042 -0.2499 -2.3585 -4.2921 -4.3402 -1.4881 -1.7309" Properties=species:S:1:pos:R:3 pbc="T T T"
Dy -3.2816 -0.8152 -4.9637
Zn -4.9224 -1.2228 -7.4455
Zn -1.6408 -0.4076 -2.4818
Lu 0.0000 0.0000 0.0000
```

Calculated values
ΔE_f, eV per atom: -0.43
Space-group type: Fm-3m, No. 225



(2)
Below is a PBEsol-optimized structure of CdTcCl2, with properties calculated at the SCAN level.

extended XYZ file:
```
4
Lattice="-1.3268 2.7293 0.1012 -1.4317 -0.7909 2.5582 6.0424 2.7801 4.2413" Properties=species:S:1:pos:R:3 pbc="T T T"
Cl 5.8002 2.6687 4.0714
Cl 0.5953 1.8777 2.7157
Cd 3.0950 3.0278 4.4703
Tc 2.8568 1.3144 2.0053
```

Calculated values
Space-group type: P4mm, No. 99



(3)
Below is a PBEsol-optimized structure of CsP2CS, with properties calculated at the SCAN level.

extended XYZ file:
```
5
Lattice="-4.2050 -0.4212 1.2472 1.2385 -2.6801 3.2707 0.4643 3.6145 2.7860" Properties=species:S:1:pos:R:3 pbc="T T T"
Cs -1.2510 0.2566 3.6520
C 0.0000 0.0000 0.0000
P 0.6193 -1.3401 1.6353
P -2.1025 -0.2106 0.6236
S 0.2322 1.8072 1.3930
```

Calculated values
Space-group type: P4/mmm, No. 123



Number 1: DOS at the Fermi energy 3.49 states/eV/f.u., DFT total energy -131.893 eV for the cell shown, calculated volume 83.4 Å³/cell. Number 2: DOS at the Fermi energy 0.76 states/eV/f.u., DFT total energy -81.625 eV for the cell shown, calculated volume 72.7 Å³/cell. Number 3: DOS at the Fermi energy 3.41 states/eV/f.u., DFT total energy -71.531 eV for the cell shown, calculated volume 89.1 Å³/cell.